(1)
# Pu2Pd

An optimized crystal structure of Pu2Pd (PBE-GGA, Alexandria via LeMat-Bulk).

Cell: 5.542 5.542 5.844 Å, 117.05 80.42 134.11°
Fractional coordinates of all 6 atoms:
Pu  0.961  0.583  0.719
Pd  0.647  0.897  0.750
Pu  0.039  0.417  0.281
Pu  0.365  0.242  0.781
Pu  0.635  0.758  0.219
Pd  0.353  0.103  0.250

Summary:
Density of states at the Fermi level = 15.63 states/eV/cell
Mass density = 17.69 g/cm³
E_form = 129 meV/atom
V = 18.60 A^3/atom
Calculated total energy = -33.47 eV/f.u.


(2)
# Pu5Pd3

An optimized crystal structure of Pu5Pd3 (PBE-GGA, Alexandria via LeMat-Bulk).

Cell: 5.192 6.015 6.015 Å, 109.38 90.00 90.00°
Fractional coordinates of all 8 atoms:
Pu  0.000  0.000  0.500
Pu  0.000  0.500  0.000
Pd  0.500  0.220  0.780
Pu  0.500  0.714  0.714
Pu  0.000  0.000  0.000
Pd  0.500  0.780  0.220
Pd  0.000  0.500  0.500
Pu  0.500  0.286  0.286

Summary:
Density of states at the Fermi level = 39.56 states/eV/cell
Mass density = 14.43 g/cm³
E_form = -243 meV/atom
V = 22.15 A^3/atom
Calculated total energy = -89.18 eV/f.u.


(3)
# PuPd

An optimized crystal structure of PuPd (PBE-GGA, Alexandria via LeMat-Bulk).

Cell: 4.113 4.113 4.113 Å, 60.00 60.00 60.00°
Fractional coordinates of all 2 atoms:
Pd  0.500  0.500  0.500
Pu  0.000  0.000  0.000

Summary:
Density of states at the Fermi level = 12.53 states/eV/cell
Mass density = 11.83 g/cm³
E_form = -253 meV/atom
V = 24.60 A^3/atom
Calculated total energy = -20.03 eV/f.u.


- Which value of V does entry 1 give?
  18.60 A^3/atom


- The lowest density of states at the Fermi level belongs to which entry?
  PuPd


What did the third record say?
# PuPd

An optimized crystal structure of PuPd (PBE-GGA, Alexandria via LeMat-Bulk).

Cell: 4.113 4.113 4.113 Å, 60.00 60.00 60.00°
Fractional coordinates of all 2 atoms:
Pd  0.500  0.500  0.500
Pu  0.000  0.000  0.000

Summary:
Density of states at the Fermi level = 12.53 states/eV/cell
Mass density = 11.83 g/cm³
E_form = -253 meV/atom
V = 24.60 A^3/atom
Calculated total energy = -20.03 eV/f.u.


- density of states at the Fermi level of number 3 (PuPd)?
  12.53 states/eV/cell